No. 1
Crystalline CuTeSe2 at its relaxed geometry. Source: the Alexandria database, functional GGA-PBE.

Lattice parameters (Å, degrees): 3.2790 3.2790 8.6260 90.00 90.00 90.00
With the nearest neighbours (Å) after each atom.
Space group P4/mmm (No. 123)
Unique sites:
Cu (0.0000, 0.0000, 0.0000) x1  8 Se 2.64
Te (0.0000, 0.0000, 0.5000) x1  4 Te 3.28
Se (0.5000, 0.5000, 0.1459) x2  1 Se 2.52, 4 Cu 2.64

Values from the calculation:
N(E_F) = 2.8 states/eV per cell
Raw total energy = -3.267 eV per atom
Total moment = 0.00 μB per formula unit

=====

No. 2
Crystalline HoTm4Ge4 at its relaxed geometry. Source: the Alexandria database, functional GGA-PBE.

Lattice parameters (Å, degrees): 9.0637 9.0637 5.7302 90.00 90.00 90.00
With the nearest neighbours (Å) after each atom.
Space group P4_2/n (No. 86, origin choice 2)
Unique sites:
Ho (0.2500, 0.2500, 0.2500) x2  4 Ge 2.89
Tm (0.0837, 0.6524, 0.1382) x8  5 Ge 2.89-2.94
Ge (0.0308, 0.6160, 0.6415) x8  1 Ge 2.71, 5 Tm 2.89-2.94, 1 Ho 2.89

Values from the calculation:
Energy of formation from the pure elements = -0.563 eV per atom
N(E_F) = 16.0 states/eV per cell
Raw total energy = -5.112 eV per atom
Total moment = 0.00 μB per formula unit

=====

No. 3
Crystalline MgBe2S3 at its relaxed geometry. Source: the Alexandria database, functional GGA-PBE.

Lattice parameters (Å, degrees): 6.2810 11.0146 6.2124 90.00 108.28 90.00
With the nearest neighbours (Å) after each atom.
Space group Cc (No. 9)
Unique sites:
Mg (0.0000, 0.0887, 0.0000) x4  4 S 2.41-2.44
Be (0.0046, 0.2571, 0.5071) x4  4 S 2.10-2.18
Be (0.4975, 0.0830, 0.5063) x4  4 S 2.10-2.15
S (0.0917, 0.4197, 0.3698) x4  3 Be 2.13-2.15
S (0.1427, 0.2707, 0.8732) x4  3 Be 2.14-2.18
S (0.1472, 0.1027, 0.4072) x4  2 Be 2.10

Values from the calculation:
N(E_F) = 0.0 states/eV per cell
Raw total energy = -4.702 eV per atom
Total moment = 0.00 μB per formula unit

=====

No. 4
Crystalline MnZnIr2 at its relaxed geometry. Source: the Alexandria database, functional GGA-PBE.

Lattice parameters (Å, degrees): 2.7333 4.3670 4.8252 90.00 92.22 90.00
With the nearest neighbours (Å) after each atom.
Space group P2/m (No. 10)
Unique sites:
Mn (0.0000, 0.0000, 0.0000) x1  4 Ir 2.60, 4 Zn 2.73-2.82, 2 Mn 2.73
Zn (0.5000, 0.0000, 0.5000) x1  4 Ir 2.59, 4 Mn 2.73-2.82, 2 Zn 2.73
Ir (0.2514, 0.5000, 0.7488) x2  2 Zn 2.59, 2 Mn 2.60, 6 Ir 2.72-2.83

Values from the calculation:
Energy of formation from the pure elements = -0.019 eV per atom
N(E_F) = 3.8 states/eV per cell
Raw total energy = -7.060 eV per atom
Total moment = 3.96 μB per formula unit

=====

No. 5
Crystalline NdTiP at its relaxed geometry. Source: the Alexandria database, functional GGA-PBE.

Lattice parameters (Å, degrees): 3.9493 3.9493 7.8299 90.00 90.00 90.00
With the nearest neighbours (Å) after each atom.
Space group P4/nmm (No. 129, origin choice 2)
Unique sites:
Nd (0.2500, 0.2500, 0.1493) x2  4 P 2.98
Ti (0.2500, 0.7500, 0.5000) x2  4 P 2.61, 4 Ti 2.79
P (0.2500, 0.2500, 0.7185) x2  4 Ti 2.61

Values from the calculation:
Energy of formation from the pure elements = -1.041 eV per atom
N(E_F) = 4.9 states/eV per cell
Raw total energy = -7.065 eV per atom
Total moment = 0.00 μB per formula unit